Below is a relaxed TbSmZnTe3 crystal, with properties calculated at the PBE level.

Values from the calculation:
SG ... Cmcm (63)
Relative energy among the computed polymorphs ... 4.1 meV/atom
Crystal system ... orthorhombic
E_tot ... -4.32 eV/atom

a b c (Å): 7.975 7.975 10.560
angles (deg): 90.00 90.00 149.74
Atoms (fractional coordinates):
Sm1 0.000 0.000 0.000
Sm2 0.000 0.000 0.500
Tb1 0.772 0.228 0.250
Tb2 0.228 0.772 0.750
Te1 0.347 0.653 0.055
Te2 0.119 0.881 0.250
Te3 0.347 0.653 0.445
Te4 0.653 0.347 0.555
Te5 0.881 0.119 0.750
Te6 0.653 0.347 0.945
Zn1 0.478 0.522 0.250
Zn2 0.522 0.478 0.750